1.
DFT (GGA-PBE) results for an optimized crystal structure of Tb2BeRh2.

Values from the calculation:
E_form ... -0.709 eV per atom
Calculated total energy ... -62.47 eV per cell
DOS at the Fermi energy ... 0.56 states/eV/atom
Size of the total moment ... 0.0 μB per formula unit

Cell lengths 5.7810, 5.7810, 7.0695 Å; angles 79.20, 79.20, 55.65 degrees
Atoms (fractional coordinates):
Tb (0.4844, 0.2222, 0.1488)
Tb (0.7778, 0.5155, 0.3512)
Tb (0.5155, 0.7778, 0.8512)
Tb (0.2222, 0.4844, 0.6488)
Be (0.1012, 0.8988, 0.2500)
Be (0.8988, 0.1012, 0.7500)
Rh (0.7472, 0.9986, 0.5101)
Rh (0.0014, 0.2528, 0.9899)
Rh (0.2528, 0.0014, 0.4899)
Rh (0.9986, 0.7472, 0.0101)

---

2.
DFT (GGA-PBE) results for an optimized crystal structure of SmTl3Sb2S6.

Values from the calculation:
Formation energy (no corrections) ... -16.2 kcal/mol of atoms
Calculated total energy ... -53.27 eV per cell
Size of the total moment ... 0.0 μB per formula unit

Cell lengths 7.0757, 7.0757, 7.7926 Å; angles 98.71, 98.71, 119.98 degrees
Atoms (fractional coordinates):
Sm (0.0000, 0.0000, 0.0000)
Tl (0.1656, 0.8344, 0.5000)
Tl (0.8344, 0.1656, 0.5000)
Tl (0.5000, 0.5000, 0.5000)
Sb (0.3337, 0.6663, 0.0000)
Sb (0.6663, 0.3337, 0.0000)
S (0.9318, 0.5948, 0.7966)
S (0.7290, 0.7290, 0.2004)
S (0.0682, 0.4052, 0.2034)
S (0.5948, 0.9318, 0.7966)
S (0.2710, 0.2710, 0.7996)
S (0.4052, 0.0682, 0.2034)

---

3.
DFT (GGA-PBE) results for an optimized crystal structure of BaLi2AsPt.

Values from the calculation:
E_form ... 1.220 eV per atom
Calculated total energy ... -10.34 eV per cell
DOS at the Fermi energy ... 0.55 states/eV/atom
Size of the total moment ... 0.0 μB per formula unit

Cell lengths 5.1801, 5.4329, 5.1801 Å; angles 90.00, 90.00, 90.00 degrees
Atoms (fractional coordinates):
As (0.0000, 0.5000, 0.0000)
Ba (0.0000, 0.0000, 0.0000)
Pt (0.5000, 0.5000, 0.5000)
Li (0.0000, 0.0000, 0.5000)
Li (0.5000, 0.0000, 0.0000)

---

4.
DFT (GGA-PBE) results for an optimized crystal structure of PmUTe2N.

Values from the calculation:
Formation energy (no corrections) ... -29.1 kcal/mol of atoms
Calculated total energy ... -73.91 eV per cell
DOS at the Fermi energy ... 1.36 states/eV/atom
Size of the total moment ... 1.8 μB per formula unit

Cell lengths 4.0562, 4.0562, 16.5806 Å; angles 90.00, 90.00, 90.00 degrees
Atoms (fractional coordinates):
Pm (0.5000, 0.0000, 0.1440)
Pm (0.0000, 0.5000, 0.8560)
U (0.5000, 0.0000, 0.5652)
U (0.0000, 0.5000, 0.4348)
Te (0.0000, 0.5000, 0.6732)
Te (0.0000, 0.5000, 0.0793)
Te (0.5000, 0.0000, 0.9207)
Te (0.5000, 0.0000, 0.3268)
N (0.0000, 0.0000, 0.5000)
N (0.5000, 0.5000, 0.5000)

---

5.
DFT (GGA-PBE) results for an optimized crystal structure of Cs2HfCoI6.

Values from the calculation:
Formation energy (no corrections) ... -17.2 kcal/mol of atoms
Calculated total energy ... -35.54 eV per cell
DOS at the Fermi energy ... 0.55 states/eV/atom
Size of the total moment ... 1.6 μB per formula unit

Cell lengths 8.1721, 8.1721, 8.1693 Å; angles 59.99, 59.99, 90.00 degrees
Atoms (fractional coordinates):
Cs (0.7500, 0.2500, 0.5000)
Cs (0.2500, 0.7500, 0.5000)
I (0.2523, 0.2523, 0.4954)
I (0.7477, 0.7477, 0.5046)
I (0.2519, 0.2519, 0.0000)
I (0.7481, 0.7481, 0.0000)
I (0.7481, 0.2519, 0.0000)
I (0.2519, 0.7481, 0.0000)
Hf (0.0000, 0.0000, 0.0000)
Co (0.5000, 0.5000, 0.0000)

---

6.
DFT (GGA-PBE) results for an optimized crystal structure of HfSnO2.

Values from the calculation:
Formation energy (no corrections) ... -53.8 kcal/mol of atoms
Calculated total energy ... -33.21 eV per cell
DOS at the Fermi energy ... 0.16 states/eV/atom
Size of the total moment ... 0.0 μB per formula unit

Cell lengths 8.6199, 8.6199, 8.6199 Å; angles 21.49, 21.49, 21.49 degrees
Atoms (fractional coordinates):
Hf (0.5000, 0.5000, 0.5000)
Sn (0.0000, 0.0000, 0.0000)
O (0.8718, 0.8718, 0.8718)
O (0.1282, 0.1282, 0.1282)

---

7.
DFT (GGA-PBE) results for an optimized crystal structure of CuSnGe2Se6.

Values from the calculation:
Formation energy (no corrections) ... -4.5 kcal/mol of atoms
Calculated total energy ... -80.42 eV per cell
DOS at the Fermi energy ... 0.43 states/eV/atom
Size of the total moment ... 0.0 μB per formula unit

Cell lengths 7.0299, 9.0420, 9.0420 Å; angles 85.97, 76.14, 76.14 degrees
Atoms (fractional coordinates):
Cu (0.2500, 0.2175, 0.7825)
Cu (0.7500, 0.7825, 0.2175)
Sn (0.2500, 0.8724, 0.1276)
Sn (0.7500, 0.1276, 0.8724)
Ge (0.2798, 0.7698, 0.6168)
Ge (0.2202, 0.3832, 0.2302)
Ge (0.7202, 0.2302, 0.3832)
Ge (0.7798, 0.6168, 0.7698)
Se (0.1623, 0.9606, 0.8159)
Se (0.3377, 0.1841, 0.0394)
Se (0.8377, 0.0394, 0.1841)
Se (0.6623, 0.8159, 0.9606)
Se (0.4265, 0.8859, 0.3806)
Se (0.0735, 0.6194, 0.1141)
Se (0.5735, 0.1141, 0.6194)
Se (0.9265, 0.3806, 0.8859)
Se (0.9997, 0.7019, 0.5484)
Se (0.5003, 0.4516, 0.2981)
Se (0.0003, 0.2981, 0.4516)
Se (0.4997, 0.5484, 0.7019)

---

8.
DFT (GGA-PBE) results for an optimized crystal structure of YTmMgTi.

Values from the calculation:
E_form ... 0.146 eV per atom
Calculated total energy ... -19.84 eV per cell
DOS at the Fermi energy ... 2.03 states/eV/atom
Size of the total moment ... 2.3 μB per formula unit

Cell lengths 5.2383, 5.2383, 5.2383 Å; angles 60.00, 60.00, 60.00 degrees
Atoms (fractional coordinates):
Y (0.5000, 0.5000, 0.5000)
Mg (0.7500, 0.7500, 0.7500)
Tm (0.0000, 0.0000, 0.0000)
Ti (0.2500, 0.2500, 0.2500)

---

9.
DFT (GGA-PBE) results for an optimized crystal structure of IrI2BrO.

Values from the calculation:
Formation energy (no corrections) ... 2.4 kcal/mol of atoms
Polymorph energy (0 for the lowest one) ... 0.000 eV per atom
Calculated total energy ... -18.07 eV per cell
DOS at the Fermi energy ... 1.17 states/eV/atom
Size of the total moment ... 0.0 μB per formula unit

Cell lengths 5.7228, 5.7228, 3.7402 Å; angles 90.00, 90.00, 90.00 degrees
Atoms (fractional coordinates):
I (0.0000, 0.5000, 0.0000)
I (0.5000, 0.0000, 0.0000)
Ir (0.0000, 0.0000, 0.0000)
O (0.0000, 0.0000, 0.5000)
Br (0.5000, 0.5000, 0.5000)

---

10.
DFT (GGA-PBE) results for an optimized crystal structure of Sb2PtSe.

Values from the calculation:
Formation energy (no corrections) ... 2.5 kcal/mol of atoms
Calculated total energy ... -17.34 eV per cell
DOS at the Fermi energy ... 0.29 states/eV/atom
Size of the total moment ... 0.0 μB per formula unit

Cell lengths 4.8507, 4.8507, 4.8507 Å; angles 113.51, 113.51, 101.66 degrees
Atoms (fractional coordinates):
Pt (0.7500, 0.2500, 0.5000)
Sb (0.0000, 0.0000, 0.0000)
Sb (0.5000, 0.5000, 0.0000)
Se (0.2500, 0.7500, 0.5000)

---

11.
DFT (GGA-PBE) results for an optimized crystal structure of PmSc4Se6.

Values from the calculation:
Formation energy (no corrections) ... -39.6 kcal/mol of atoms
Calculated total energy ... -139.75 eV per cell
DOS at the Fermi energy ... 0.40 states/eV/atom
Size of the total moment ... 0.0 μB per formula unit

Cell lengths 3.8914, 6.6649, 19.9817 Å; angles 90.00, 90.00, 106.97 degrees
Atoms (fractional coordinates):
Pm (0.6533, 0.3066, 0.2500)
Pm (0.3467, 0.6934, 0.7500)
Sc (0.8576, 0.7153, 0.5371)
Sc (0.4070, 0.8140, 0.1235)
Sc (0.1424, 0.2847, 0.4629)
Sc (0.5930, 0.1860, 0.8765)
Sc (0.8576, 0.7153, 0.9629)
Sc (0.1424, 0.2847, 0.0371)
Sc (0.5930, 0.1860, 0.6235)
Sc (0.4070, 0.8140, 0.3765)
Se (0.5000, 0.0000, 0.0000)
Se (0.5000, 0.0000, 0.5000)
Se (0.0461, 0.0922, 0.3400)
Se (0.9539, 0.9078, 0.6600)
Se (0.9539, 0.9078, 0.8400)
Se (0.0461, 0.0922, 0.1600)
Se (0.7673, 0.5346, 0.4110)
Se (0.2327, 0.4654, 0.5890)
Se (0.2327, 0.4654, 0.9110)
Se (0.7673, 0.5346, 0.0890)
Se (0.3240, 0.6480, 0.2500)
Se (0.6760, 0.3520, 0.7500)

---

12.
DFT (GGA-PBE) results for an optimized crystal structure of Nd3Sb2Te2.

Values from the calculation:
Formation energy (no corrections) ... -24.3 kcal/mol of atoms
Calculated total energy ... -36.19 eV per cell
DOS at the Fermi energy ... 0.68 states/eV/atom
Size of the total moment ... 0.0 μB per formula unit

Cell lengths 4.4855, 7.9551, 8.9841 Å; angles 119.44, 104.46, 90.00 degrees
Atoms (fractional coordinates):
Nd (0.0000, 0.5000, 0.0000)
Nd (0.2704, 0.7643, 0.5409)
Nd (0.7296, 0.2357, 0.4591)
Sb (0.6368, 0.7709, 0.2736)
Sb (0.3632, 0.2291, 0.7264)
Te (0.8781, 0.6958, 0.7561)
Te (0.1219, 0.3042, 0.2439)

---

13.
DFT (GGA-PBE) results for an optimized crystal structure of Th8SbTe4P3.

Values from the calculation:
Formation energy (no corrections) ... -28.9 kcal/mol of atoms
Calculated total energy ... -112.30 eV per cell
DOS at the Fermi energy ... 0.59 states/eV/atom
Size of the total moment ... 0.0 μB per formula unit

Cell lengths 8.5648, 8.8926, 8.5650 Å; angles 118.79, 120.00, 90.00 degrees
Atoms (fractional coordinates):
Th (0.2497, 0.7154, 0.9658)
Th (0.2497, 0.7154, 0.4993)
Th (0.2646, 0.2939, 0.5292)
Th (0.7161, 0.7154, 0.9658)
Th (0.2839, 0.2846, 0.0342)
Th (0.7354, 0.7061, 0.4708)
Th (0.7503, 0.2846, 0.5007)
Th (0.7503, 0.2846, 0.0342)
Sb (0.0000, 0.5000, 0.0000)
Te (0.5000, 0.0000, 0.0000)
Te (0.5000, 0.0000, 0.5000)
Te (0.0000, 0.0000, 0.0000)
Te (0.0000, 0.0000, 0.5000)
P (0.5000, 0.5000, 0.0000)
P (0.5000, 0.5000, 0.5000)
P (0.0000, 0.5000, 0.5000)

---

14.
DFT (GGA-PBE) results for an optimized crystal structure of Ca2InN.

Values from the calculation:
Formation energy (no corrections) ... -11.6 kcal/mol of atoms
Polymorph energy (0 for the lowest one) ... 0.194 eV per atom
Calculated total energy ... -17.08 eV per cell
DOS at the Fermi energy ... 0.30 states/eV/atom
Size of the total moment ... 0.0 μB per formula unit

Cell lengths 3.4814, 3.4814, 8.6787 Å; angles 90.00, 90.00, 120.01 degrees
Atoms (fractional coordinates):
Ca (0.4667, 0.5333, 0.3437)
Ca (0.4667, 0.5333, 0.6563)
In (0.7994, 0.2006, 0.0000)
N (0.1334, 0.8666, 0.5000)

---

15.
DFT (GGA-PBE) results for an optimized crystal structure of HBrF3.

Values from the calculation:
Polymorph energy (0 for the lowest one) ... 0.012 eV per atom
Calculated total energy ... -10.70 eV per cell
DOS at the Fermi energy ... 0.33 states/eV/atom
Size of the total moment ... 0.9 μB per formula unit

Cell lengths 4.2788, 4.2788, 4.2788 Å; angles 90.00, 90.00, 90.00 degrees
Atoms (fractional coordinates):
H (0.5000, 0.5000, 0.5000)
Br (0.0000, 0.0000, 0.0000)
F (0.0000, 0.5000, 0.0000)
F (0.0000, 0.0000, 0.5000)
F (0.5000, 0.0000, 0.0000)

---

16.
DFT (GGA-PBE) results for an optimized crystal structure of Zr2ScS.

Values from the calculation:
Formation energy (no corrections) ... -5.3 kcal/mol of atoms
Calculated total energy ... -56.95 eV per cell
DOS at the Fermi energy ... 1.21 states/eV/atom
Size of the total moment ... 0.0 μB per formula unit

Cell lengths 4.0055, 4.0055, 10.7485 Å; angles 79.26, 79.26, 90.00 degrees
Atoms (fractional coordinates):
Sc (0.0000, 0.0000, 0.0000)
Sc (0.7500, 0.2500, 0.5000)
S (0.5000, 0.5000, 0.0000)
S (0.2500, 0.7500, 0.5000)
Zr (0.6090, 0.1250, 0.2500)
Zr (0.1410, 0.6250, 0.2500)
Zr (0.3750, 0.3910, 0.7500)
Zr (0.8750, 0.8590, 0.7500)

---

17.
DFT (GGA-PBE) results for an optimized crystal structure of Be2InTcMo.

Values from the calculation:
E_form ... 1.859 eV per atom
Calculated total energy ... -22.09 eV per cell
DOS at the Fermi energy ... 1.10 states/eV/atom
Size of the total moment ... 0.0 μB per formula unit

Cell lengths 4.1938, 4.9995, 4.1938 Å; angles 90.00, 90.00, 90.00 degrees
Atoms (fractional coordinates):
Be (0.0000, 0.0000, 0.5000)
Be (0.5000, 0.0000, 0.0000)
Mo (0.5000, 0.5000, 0.5000)
Tc (0.0000, 0.5000, 0.0000)
In (0.0000, 0.0000, 0.0000)

---

18.
DFT (GGA-PBE) results for an optimized crystal structure of CeCo2Si2Ni.

Values from the calculation:
Formation energy (no corrections) ... -3.2 kcal/mol of atoms
Calculated total energy ... -37.61 eV per cell
DOS at the Fermi energy ... 1.03 states/eV/atom
Size of the total moment ... 0.0 μB per formula unit

Cell lengths 4.2653, 4.2653, 5.1391 Å; angles 90.00, 90.00, 90.00 degrees
Atoms (fractional coordinates):
Ce (0.0000, 0.0000, 0.5000)
Co (0.5000, 0.5000, 0.7474)
Co (0.5000, 0.5000, 0.2526)
Si (0.5000, 0.0000, 0.0000)
Si (0.0000, 0.5000, 0.0000)
Ni (0.0000, 0.0000, 0.0000)

---

19.
DFT (GGA-PBE) results for an optimized crystal structure of Pm4DyTm.

Values from the calculation:
E_form ... 0.263 eV per atom
Polymorph energy (0 for the lowest one) ... 0.205 eV per atom
Calculated total energy ... -26.50 eV per cell
DOS at the Fermi energy ... 1.65 states/eV/atom
Size of the total moment ... 0.0 μB per formula unit

Cell lengths 6.6361, 6.6361, 6.6361 Å; angles 60.00, 60.00, 60.00 degrees
Atoms (fractional coordinates):
Tm (0.0000, 0.0000, 0.0000)
Pm (0.6252, 0.6252, 0.1244)
Pm (0.6252, 0.1244, 0.6252)
Pm (0.6252, 0.6252, 0.6252)
Pm (0.1244, 0.6252, 0.6252)
Dy (0.2500, 0.2500, 0.2500)

---

20.
DFT (GGA-PBE) results for an optimized crystal structure of Ce2CdIn2.

Values from the calculation:
E_form ... -0.262 eV per atom
Polymorph energy (0 for the lowest one) ... 0.000 eV per atom
Calculated total energy ... -39.14 eV per cell
DOS at the Fermi energy ... 2.87 states/eV/atom
Size of the total moment ... 1.7 μB per formula unit

Cell lengths 4.8532, 7.6306, 7.6306 Å; angles 90.00, 90.00, 90.00 degrees
Atoms (fractional coordinates):
Ce (0.5000, 0.1629, 0.6629)
Ce (0.5000, 0.6629, 0.8371)
Ce (0.5000, 0.8371, 0.3371)
Ce (0.5000, 0.3371, 0.1629)
Cd (0.0000, 0.0000, 0.0000)
Cd (0.0000, 0.5000, 0.5000)
In (0.0000, 0.3625, 0.8625)
In (0.0000, 0.8625, 0.6375)
In (0.0000, 0.6375, 0.1375)
In (0.0000, 0.1375, 0.3625)